The following is a PBE calculation of a relaxed BaInSb3 crystal, from Alexandria via LeMat-Bulk.

a = 5.7012 Å, b = 5.7012 Å, c = 5.7012 Å
α = 90.00°, β = 90.00°, γ = 90.00°
Closest atoms and distances in Å follow each position.
Positions (direct):
Ba 0.0000 0.0000 0.0000  12 Sb 4.03
In 0.5000 0.5000 0.5000  6 Sb 2.85
Sb 0.0000 0.5000 0.5000  2 In 2.85
Sb 0.5000 0.0000 0.5000  2 In 2.85
Sb 0.5000 0.5000 0.0000  2 In 2.85

Summary:
As for the space group: Pm-3m (221). The energy is -3.4082 eV per atom. The calculation puts the energy above the most stable polymorph in this dataset at 349.4 meV per atom.



The following is a PBE calculation of a relaxed Ir2RhBr crystal, from Alexandria via LeMat-Bulk.

a = 4.7807 Å, b = 4.7807 Å, c = 2.8509 Å
α = 90.00°, β = 90.00°, γ = 106.50°
Closest atoms and distances in Å follow each position.
Positions (direct):
Ir 0.0000 0.5000 0.0000  4 Br 2.78, 4 Rh 2.78, 4 Ir 2.85-2.86
Ir 0.5000 0.0000 0.0000  4 Br 2.78, 4 Rh 2.78, 4 Ir 2.85-2.86
Rh 0.0000 0.0000 0.5000  8 Ir 2.78, 2 Rh 2.85, 2 Br 2.86
Br 0.5000 0.5000 0.5000  8 Ir 2.78, 2 Br 2.85, 2 Rh 2.86

Summary:
As for the space group: Cmmm (65). The energy is -5.7649 eV per atom. The calculation puts the energy above the most stable polymorph in this dataset at 458.8 meV per atom.



The following is a PBE calculation of a relaxed YCdSe2 crystal, from Alexandria via LeMat-Bulk.

a = 4.0996 Å, b = 4.0996 Å, c = 5.9158 Å
α = 90.00°, β = 90.00°, γ = 90.00°
Closest atoms and distances in Å follow each position.
Positions (direct):
Y 0.0000 0.0000 0.0000  6 Se 2.90-2.96
Cd 0.5000 0.5000 0.5000  6 Se 2.90-2.96
Se 0.0000 0.0000 0.5000  4 Cd 2.90, 2 Y 2.96
Se 0.5000 0.5000 0.0000  4 Y 2.90, 2 Cd 2.96

Summary:
As for the space group: P4/mmm (123). The energy is -4.7377 eV per atom.



no.,total magnetization (μB per atom),formation energy (no corrections) (eV/atom),V (Å³ per atom)
1,0.000,-0.003,37.1
2,0.000,0.922,15.6
3,0.000,-1.151,24.9